Record 1
# Re2OsAu (PBE, relaxed)
data_Re2OsAu
_cell_length_a 9.3312
_cell_length_b 2.7884
_cell_length_c 4.8533
_cell_angle_alpha 90.00
_cell_angle_beta 100.22
_cell_angle_gamma 90.00
_symmetry_space_group_name_H-M 'C 1 m 1'
_symmetry_Int_Tables_number 8
loop_
_symmetry_equiv_pos_as_xyz
'x,y,z'
'x,-y,z'
'x+1/2,y+1/2,z'
'x+1/2,-y+1/2,z'
loop_
_atom_site_label
_atom_site_type_symbol
_atom_site_fract_x
_atom_site_fract_y
_atom_site_fract_z
_atom_site_occupancy
Re1 Re 0.0000 0.0000 0.0000 1
Re2 Re 0.2420 0.5000 0.2331 1
Os1 Os 0.4775 0.0000 0.4540 1
Au1 Au 0.2400 0.0000 0.7305 1
# * E above lowest polymorph: 7.9 kJ/mol of atoms
# * energy: -9.518 eV per atom
# * magnetic moment: 0.0 μB/cell
# * crystal system: monoclinic



Record 2
# ZnCuReOs2 (PBE, relaxed)
data_ZnCuReOs2
_cell_length_a 4.4791
_cell_length_b 4.4791
_cell_length_c 4.1237
_cell_angle_alpha 90.00
_cell_angle_beta 90.00
_cell_angle_gamma 90.00
_symmetry_space_group_name_H-M 'P 4/m m m'
_symmetry_Int_Tables_number 123
_symmetry_space_group_name_Hall '-P 4 2'
loop_
_atom_site_label
_atom_site_type_symbol
_atom_site_fract_x
_atom_site_fract_y
_atom_site_fract_z
_atom_site_occupancy
Zn1 Zn 0.0000 0.0000 0.0000 1
Cu1 Cu 0.0000 0.0000 0.5000 1
Re1 Re 0.5000 0.5000 0.0000 1
Os1 Os 0.0000 0.5000 0.5000 1
# * energy: -6.193 eV per atom
# * magnetic moment: 2.3 μB/cell
# * crystal system: tetragonal



Record 3
# MoAsI2 (PBE, relaxed)
data_MoAsI2
_cell_length_a 7.0918
_cell_length_b 7.0918
_cell_length_c 7.0918
_cell_angle_alpha 90.00
_cell_angle_beta 90.00
_cell_angle_gamma 90.00
_symmetry_space_group_name_H-M 'F m -3 m'
_symmetry_Int_Tables_number 225
_symmetry_space_group_name_Hall '-F 4 2 3'
loop_
_atom_site_label
_atom_site_type_symbol
_atom_site_fract_x
_atom_site_fract_y
_atom_site_fract_z
_atom_site_occupancy
Mo1 Mo 0.0000 0.0000 0.0000 1
As1 As 0.0000 0.0000 0.5000 1
I1 I 0.2500 0.2500 0.2500 1
# * E above lowest polymorph: 72.3 kJ/mol of atoms
# * energy: -3.643 eV per atom
# * magnetic moment: 0.0 μB/cell
# * ΔE_f (raw): 1.00 eV per atom
# * crystal system: cubic



Record 4
# CaTl2SiO4 (PBE, relaxed)
data_CaTl2SiO4
_cell_length_a 6.9759
_cell_length_b 8.7322
_cell_length_c 5.3175
_cell_angle_alpha 90.00
_cell_angle_beta 90.00
_cell_angle_gamma 90.00
_symmetry_space_group_name_H-M 'P m n 21'
_symmetry_Int_Tables_number 31
loop_
_symmetry_equiv_pos_as_xyz
'x,y,z'
'-x+1/2,-y,z+1/2'
'-x,y,z'
'x+1/2,-y,z+1/2'
loop_
_atom_site_label
_atom_site_type_symbol
_atom_site_fract_x
_atom_site_fract_y
_atom_site_fract_z
_atom_site_occupancy
Ca1 Ca 0.0000 0.0990 0.0000 1
Tl1 Tl 0.2505 0.3104 0.5069 1
Si1 Si 0.0000 0.8877 0.4894 1
O1 O 0.0000 0.0749 0.5608 1
O2 O 0.0000 0.8691 0.1767 1
O3 O 0.1999 0.8100 0.5952 1
# * energy: -6.080 eV per atom
# * magnetic moment: 0.0 μB/cell
# * ΔE_f (raw): -2.08 eV per atom
# * crystal system: orthorhombic



Record 5
# Zr2TaPtBr (PBE, relaxed)
data_Zr2TaPtBr
_cell_length_a 5.1694
_cell_length_b 5.1694
_cell_length_c 4.8030
_cell_angle_alpha 90.00
_cell_angle_beta 90.00
_cell_angle_gamma 90.00
_symmetry_space_group_name_H-M 'P 4/m m m'
_symmetry_Int_Tables_number 123
_symmetry_space_group_name_Hall '-P 4 2'
loop_
_atom_site_label
_atom_site_type_symbol
_atom_site_fract_x
_atom_site_fract_y
_atom_site_fract_z
_atom_site_occupancy
Zr1 Zr 0.0000 0.5000 0.0000 1
Ta1 Ta 0.0000 0.0000 0.0000 1
Pt1 Pt 0.5000 0.5000 0.5000 1
Br1 Br 0.0000 0.0000 0.5000 1
# * energy: -6.367 eV per atom
# * magnetic moment: 0.0 μB/cell
# * ΔE_f (raw): 0.97 eV per atom
# * crystal system: tetragonal



Record 6
# LiTa2P (PBE, relaxed)
data_LiTa2P
_cell_length_a 3.7360
_cell_length_b 3.7360
_cell_length_c 8.6450
_cell_angle_alpha 90.00
_cell_angle_beta 90.00
_cell_angle_gamma 90.00
_symmetry_space_group_name_H-M 'I -4 m 2'
_symmetry_Int_Tables_number 119
_symmetry_space_group_name_Hall 'I -4 -2'
loop_
_atom_site_label
_atom_site_type_symbol
_atom_site_fract_x
_atom_site_fract_y
_atom_site_fract_z
_atom_site_occupancy
Li1 Li 0.0000 0.0000 0.0000 1
Ta1 Ta 0.0000 0.0000 0.5000 1
Ta2 Ta 0.0000 0.5000 0.2500 1
P1 P 0.0000 0.5000 0.7500 1
# * energy: -7.766 eV per atom
# * magnetic moment: 0.0 μB/cell
# * crystal system: tetragonal



Record 7
# CoIrRh (PBE, relaxed)
data_CoIrRh
_cell_length_a 4.2065
_cell_length_b 4.2065
_cell_length_c 2.6793
_cell_angle_alpha 90.00
_cell_angle_beta 90.00
_cell_angle_gamma 120.00
_symmetry_space_group_name_H-M 'P -6 m 2'
_symmetry_Int_Tables_number 187
_symmetry_space_group_name_Hall 'P -6 2'
loop_
_atom_site_label
_atom_site_type_symbol
_atom_site_fract_x
_atom_site_fract_y
_atom_site_fract_z
_atom_site_occupancy
Co1 Co 0.0000 0.0000 0.0000 1
Ir1 Ir 0.6667 0.3333 0.0000 1
Rh1 Rh 0.3333 0.6667 0.5000 1
# * E above lowest polymorph: 16.4 kJ/mol of atoms
# * energy: -7.567 eV per atom
# * magnetic moment: 2.6 μB/cell
# * crystal system: hexagonal



Record 8
# Mn2MoRh2 (PBE, relaxed)
data_Mn2MoRh2
_cell_length_a 3.2074
_cell_length_b 3.2074
_cell_length_c 13.6438
_cell_angle_alpha 90.00
_cell_angle_beta 90.00
_cell_angle_gamma 90.00
_symmetry_space_group_name_H-M 'I 4/m m m'
_symmetry_Int_Tables_number 139
_symmetry_space_group_name_Hall '-I 4 2'
loop_
_atom_site_label
_atom_site_type_symbol
_atom_site_fract_x
_atom_site_fract_y
_atom_site_fract_z
_atom_site_occupancy
Mn1 Mn 0.0000 0.5000 0.2500 1
Mo1 Mo 0.0000 0.0000 0.0000 1
Rh1 Rh 0.0000 0.0000 0.3984 1
# * E above lowest polymorph: 25.5 kJ/mol of atoms
# * energy: -8.423 eV per atom
# * magnetic moment: 0.0 μB/cell
# * crystal system: tetragonal



Record 9
# MgScGa3 (PBE, relaxed)
data_MgScGa3
_cell_length_a 4.8960
_cell_length_b 4.8960
_cell_length_c 4.8960
_cell_angle_alpha 90.00
_cell_angle_beta 90.00
_cell_angle_gamma 90.00
_symmetry_space_group_name_H-M 'P m -3 m'
_symmetry_Int_Tables_number 221
_symmetry_space_group_name_Hall '-P 4 2 3'
loop_
_atom_site_label
_atom_site_type_symbol
_atom_site_fract_x
_atom_site_fract_y
_atom_site_fract_z
_atom_site_occupancy
Mg1 Mg 0.0000 0.0000 0.0000 1
Sc1 Sc 0.5000 0.5000 0.5000 1
Ga1 Ga 0.0000 0.0000 0.5000 1
# * E above lowest polymorph: 72.2 kJ/mol of atoms
# * energy: -3.030 eV per atom
# * magnetic moment: 0.0 μB/cell
# * crystal system: cubic



Record 10
# NaAl2AgBr8 (PBE, relaxed)
data_NaAl2AgBr8
_cell_length_a 6.8585
_cell_length_b 6.8585
_cell_length_c 9.8898
_cell_angle_alpha 90.00
_cell_angle_beta 90.00
_cell_angle_gamma 120.00
_symmetry_space_group_name_H-M 'P -3'
_symmetry_Int_Tables_number 147
loop_
_symmetry_equiv_pos_as_xyz
'x,y,z'
'-x,-y,-z'
'-y,x-y,z'
'y,-x+y,-z'
'-x+y,-x,z'
'x-y,x,-z'
loop_
_atom_site_label
_atom_site_type_symbol
_atom_site_fract_x
_atom_site_fract_y
_atom_site_fract_z
_atom_site_occupancy
Na1 Na 0.0000 0.0000 0.0000 1
Al1 Al 0.3333 0.6667 0.7571 1
Ag1 Ag 0.0000 0.0000 0.5000 1
Br1 Br 0.0146 0.3358 0.6861 1
Br2 Br 0.3333 0.6667 0.9914 1
# * energy: -3.113 eV per atom
# * magnetic moment: 0.0 μB/cell
# * ΔE_f (raw): -1.03 eV per atom
# * crystal system: trigonal



Record 11
# AcTbDyAg (PBE, relaxed)
data_AcTbDyAg
_cell_length_a 7.8766
_cell_length_b 7.8766
_cell_length_c 7.8766
_cell_angle_alpha 90.00
_cell_angle_beta 90.00
_cell_angle_gamma 90.00
_symmetry_space_group_name_H-M 'F -4 3 m'
_symmetry_Int_Tables_number 216
_symmetry_space_group_name_Hall 'F -4 2 3'
loop_
_atom_site_label
_atom_site_type_symbol
_atom_site_fract_x
_atom_site_fract_y
_atom_site_fract_z
_atom_site_occupancy
Ac1 Ac 0.0000 0.0000 0.0000 1
Tb1 Tb 0.2500 0.2500 0.2500 1
Dy1 Dy 0.2500 0.2500 0.7500 1
Ag1 Ag 0.0000 0.0000 0.5000 1
# * energy: -3.871 eV per atom
# * magnetic moment: 0.0 μB/cell
# * crystal system: cubic



Record 12
# La2TmAu4 (PBE, relaxed)
data_La2TmAu4
_cell_length_a 5.3081
_cell_length_b 5.3081
_cell_length_c 13.2426
_cell_angle_alpha 90.00
_cell_angle_beta 90.00
_cell_angle_gamma 90.00
_symmetry_space_group_name_H-M 'I 4/m m m'
_symmetry_Int_Tables_number 139
_symmetry_space_group_name_Hall '-I 4 2'
loop_
_atom_site_label
_atom_site_type_symbol
_atom_site_fract_x
_atom_site_fract_y
_atom_site_fract_z
_atom_site_occupancy
La1 La 0.0000 0.0000 0.2173 1
Tm1 Tm 0.0000 0.0000 0.5000 1
Au1 Au 0.0000 0.5000 0.1103 1
# * energy: -4.619 eV per atom
# * magnetic moment: 0.0 μB/cell
# * crystal system: tetragonal



Record 13
# ZrRh2Cl (PBE, relaxed)
data_ZrRh2Cl
_cell_length_a 6.4351
_cell_length_b 6.4351
_cell_length_c 6.4351
_cell_angle_alpha 90.00
_cell_angle_beta 90.00
_cell_angle_gamma 90.00
_symmetry_space_group_name_H-M 'F -4 3 m'
_symmetry_Int_Tables_number 216
_symmetry_space_group_name_Hall 'F -4 2 3'
loop_
_atom_site_label
_atom_site_type_symbol
_atom_site_fract_x
_atom_site_fract_y
_atom_site_fract_z
_atom_site_occupancy
Zr1 Zr 0.0000 0.0000 0.0000 1
Rh1 Rh 0.0000 0.0000 0.5000 1
Rh2 Rh 0.2500 0.2500 0.7500 1
Cl1 Cl 0.2500 0.2500 0.2500 1
# * E above lowest polymorph: 35.4 kJ/mol of atoms
# * energy: -6.350 eV per atom
# * magnetic moment: 0.0 μB/cell
# * ΔE_f (raw): -0.08 eV per atom
# * crystal system: cubic



Record 14
# Rb2VAg (PBE, relaxed)
data_Rb2VAg
_cell_length_a 12.9146
_cell_length_b 12.9146
_cell_length_c 5.2928
_cell_angle_alpha 90.00
_cell_angle_beta 90.00
_cell_angle_gamma 90.00
_symmetry_space_group_name_H-M 'I -4 2 d'
_symmetry_Int_Tables_number 122
_symmetry_space_group_name_Hall 'I -4 2bw'
loop_
_atom_site_label
_atom_site_type_symbol
_atom_site_fract_x
_atom_site_fract_y
_atom_site_fract_z
_atom_site_occupancy
Rb1 Rb 0.0867 0.2500 0.1250 1
V1 V 0.0000 0.0000 0.5000 1
Ag1 Ag 0.0000 0.0000 0.0000 1
# * E above lowest polymorph: 0.0 kJ/mol of atoms
# * energy: -2.610 eV per atom
# * magnetic moment: 18.0 μB/cell
# * crystal system: tetragonal



Record 15
# Pb2WBr (PBE, relaxed)
data_Pb2WBr
_cell_length_a 3.1876
_cell_length_b 5.2129
_cell_length_c 5.9824
_cell_angle_alpha 90.00
_cell_angle_beta 90.00
_cell_angle_gamma 90.00
_symmetry_space_group_name_H-M 'P m m m'
_symmetry_Int_Tables_number 47
loop_
_symmetry_equiv_pos_as_xyz
'x,y,z'
'-x,-y,-z'
'-x,-y,z'
'x,y,-z'
'x,-y,-z'
'-x,y,z'
'-x,y,-z'
'x,-y,z'
loop_
_atom_site_label
_atom_site_type_symbol
_atom_site_fract_x
_atom_site_fract_y
_atom_site_fract_z
_atom_site_occupancy
Pb1 Pb 0.0000 0.0000 0.0000 1
Pb2 Pb 0.5000 0.5000 0.5000 1
W1 W 0.0000 0.0000 0.5000 1
Br1 Br 0.5000 0.5000 0.0000 1
# * E above lowest polymorph: 22.4 kJ/mol of atoms
# * energy: -4.799 eV per atom
# * magnetic moment: 0.5 μB/cell
# * ΔE_f (raw): 0.71 eV per atom
# * crystal system: orthorhombic



Record 16
# KTl2W (PBE, relaxed)
data_KTl2W
_cell_length_a 3.1710
_cell_length_b 5.6017
_cell_length_c 5.6012
_cell_angle_alpha 90.00
_cell_angle_beta 90.05
_cell_angle_gamma 90.00
_symmetry_space_group_name_H-M 'P 1 m 1'
_symmetry_Int_Tables_number 6
loop_
_symmetry_equiv_pos_as_xyz
'x,y,z'
'x,-y,z'
loop_
_atom_site_label
_atom_site_type_symbol
_atom_site_fract_x
_atom_site_fract_y
_atom_site_fract_z
_atom_site_occupancy
K1 K 0.0000 0.0000 0.0000 1
Tl1 Tl 0.4819 0.0000 0.5002 1
Tl2 Tl 0.4820 0.5000 0.0009 1
W1 W 0.6955 0.5000 0.5009 1
# * E above lowest polymorph: 24.5 kJ/mol of atoms
# * energy: -3.770 eV per atom
# * magnetic moment: 0.0 μB/cell
# * crystal system: monoclinic



Record 17
# BaLa (PBE, relaxed)
data_BaLa
_cell_length_a 6.6173
_cell_length_b 6.6173
_cell_length_c 5.9225
_cell_angle_alpha 90.00
_cell_angle_beta 90.00
_cell_angle_gamma 120.00
_symmetry_space_group_name_H-M 'P 63/m m c'
_symmetry_Int_Tables_number 194
_symmetry_space_group_name_Hall '-P 6c 2c'
loop_
_atom_site_label
_atom_site_type_symbol
_atom_site_fract_x
_atom_site_fract_y
_atom_site_fract_z
_atom_site_occupancy
Ba1 Ba 0.3333 0.6667 0.2500 1
La1 La 0.0000 0.0000 0.0000 1
# * E above lowest polymorph: 42.5 kJ/mol of atoms
# * energy: -2.887 eV per atom
# * magnetic moment: 0.5 μB/cell
# * crystal system: hexagonal



Record 18
# In3PbO6 (PBE, relaxed)
data_In3PbO6
_cell_length_a 5.7326
_cell_length_b 5.7394
_cell_length_c 10.1613
_cell_angle_alpha 90.00
_cell_angle_beta 123.24
_cell_angle_gamma 90.00
_symmetry_space_group_name_H-M 'P 1 21/c 1'
_symmetry_Int_Tables_number 14
loop_
_symmetry_equiv_pos_as_xyz
'x,y,z'
'-x,-y,-z'
'-x,y+1/2,-z+1/2'
'x,-y+1/2,z+1/2'
loop_
_atom_site_label
_atom_site_type_symbol
_atom_site_fract_x
_atom_site_fract_y
_atom_site_fract_z
_atom_site_occupancy
In1 In 0.0000 0.0000 0.0000 1
In2 In 0.2181 0.0445 0.7213 1
Pb1 Pb 0.5000 0.0000 0.5000 1
O1 O 0.1067 0.1713 0.4564 1
O2 O 0.1906 0.6771 0.3877 1
O3 O 0.3990 0.1053 0.2500 1
# * energy: -5.434 eV per atom
# * magnetic moment: 0.0 μB/cell
# * ΔE_f (raw): -1.27 eV per atom
# * crystal system: monoclinic



Record 19
# Co3B (PBE, relaxed)
data_Co3B
_cell_length_a 2.5611
_cell_length_b 2.5662
_cell_length_c 6.0803
_cell_angle_alpha 90.00
_cell_angle_beta 90.00
_cell_angle_gamma 90.00
_symmetry_space_group_name_H-M 'P m m 2'
_symmetry_Int_Tables_number 25
loop_
_symmetry_equiv_pos_as_xyz
'x,y,z'
'-x,-y,z'
'-x,y,z'
'x,-y,z'
loop_
_atom_site_label
_atom_site_type_symbol
_atom_site_fract_x
_atom_site_fract_y
_atom_site_fract_z
_atom_site_occupancy
Co1 Co 0.0000 0.0000 0.0000 1
Co2 Co 0.0000 0.5000 0.3433 1
Co3 Co 0.5000 0.5000 0.7357 1
B1 B 0.5000 0.0000 0.4787 1
# * energy: -6.907 eV per atom
# * magnetic moment: 3.1 μB/cell
# * crystal system: orthorhombic



Record 20
# Cu2GeBi (PBE, relaxed)
data_Cu2GeBi
_cell_length_a 4.4954
_cell_length_b 4.4954
_cell_length_c 16.1033
_cell_angle_alpha 90.00
_cell_angle_beta 90.00
_cell_angle_gamma 90.00
_symmetry_space_group_name_H-M 'I -4 2 d'
_symmetry_Int_Tables_number 122
_symmetry_space_group_name_Hall 'I -4 2bw'
loop_
_atom_site_label
_atom_site_type_symbol
_atom_site_fract_x
_atom_site_fract_y
_atom_site_fract_z
_atom_site_occupancy
Cu1 Cu 0.1391 0.2500 0.1250 1
Ge1 Ge 0.0000 0.0000 0.0000 1
Bi1 Bi 0.0000 0.0000 0.5000 1
# * E above lowest polymorph: 0.0 kJ/mol of atoms
# * energy: -3.973 eV per atom
# * magnetic moment: 0.0 μB/cell
# * crystal system: tetragonal